A plane-wave DFT calculation with PBE was carried out for crystalline TbPm2Pt at its relaxed geometry.

The structure belongs to space group Pnna (No. 52); the cell edges are 6.7732, 6.5712 and 11.4536 Å and the angles 90.00°, 90.00° and 90.00°. The inequivalent atoms are Tb at (0.0509, 0.2500, 0.2500), Pm at (0.0842, 0.2350, 0.5852) and Pt at (0.2500, 0.0000, 0.0924).

The energy of formation is -195 kJ/mol of formula units. The offset from the most stable computed form comes out at 0.153 eV per atom. The density of states at the Fermi level is 18.6 states/eV per cell.